# 1
A plane-wave DFT calculation with GGA-PBE was carried out for a relaxed structure of Li2AcH8Rh.

## Properties
Fermi-level density of states in states/eV per atom: 0.0000

Unit cell a=4.5569 b=4.5569 c=6.4845 alpha=90.00 beta=90.00 gamma=120.00
Space group P-3m1 (No. 164)
Unique sites:
1 Li 0.3333 0.6667 0.3922
2 Ac 0.0000 0.0000 0.0000
3 H 0.1700 0.3400 0.6507
4 H 0.3333 0.6667 0.0689
5 Rh 0.0000 0.0000 0.5000


# 2
A plane-wave DFT calculation with GGA-PBE was carried out for a relaxed structure of LiAcH8Rh2.

## Properties
Fermi-level density of states in states/eV per atom: 0.0063

Unit cell a=4.8424 b=4.8424 c=17.1086 alpha=90.00 beta=90.00 gamma=120.00
Space group R-3 (No. 148, hexagonal axes)
Unique sites:
1 Li 0.0000 0.0000 0.0000
2 Ac 0.0000 0.0000 0.5000
3 H 0.0000 0.0000 0.1999
4 H 0.0108 0.7265 0.3747
5 Rh 0.0000 0.0000 0.3010


Result set for total DFT energy (no corrections): -3.977 -4.323 eV/atom, one per record in the order listed.
Result set for theoretical density: 5.0 6.4 g cm⁻³, one per record in the order listed.